Pm2InSb3Rh4 | GGA-PBE | optimized geometry

Summary:
Symmetry: P-4m2, No. 115
VASP energy: -61.639 eV for the cell shown
E_form (uncorrected): -0.763 eV/atom

```
Pm2InSb3Rh4
1.0
4.430 0.000 0.000
0.000 4.430 0.000
0.000 0.000 10.908
Pm In Sb Rh
2 1 3 4
direct
0.000 0.500 0.249 Pm
0.500 0.000 0.751 Pm
0.000 0.000 0.500 In
0.000 0.500 0.868 Sb
0.500 0.000 0.132 Sb
0.500 0.500 0.500 Sb
0.000 0.000 0.000 Rh
0.000 0.500 0.636 Rh
0.500 0.000 0.364 Rh
0.500 0.500 0.000 Rh
```